Below is a relaxed Mg2MnSe crystal, with properties calculated at the PBE-GGA level.

a = 4.010 Å, b = 4.010 Å, c = 9.376 Å
α = 90.00°, β = 90.00°, γ = 90.00°
Space group I4/mmm (No. 139)
One atom of each set of equivalent atoms:
Mg: 0.000 0.500 0.250 x4
Mn: 0.000 0.000 0.000 x2
Se: 0.000 0.000 0.500 x2

Output
Total energy in eV/atom: -3.987
Density of states at the Fermi level in states/eV/atom: 0.523
Density in g cm⁻³: 4.02
Crystal system: tetragonal